No. 1
3
Lattice="4.883 0.000 0.000 2.442 4.229 0.000 2.442 1.410 3.987" Properties=species:S:1:pos:R:3 comment="PBE-GGA GdTlAg, relaxed" polymorph_energy_ev_per_atom=0.122 delta_e_f_ev_per_atom=-0.187 rho_g_cm3=9.5 total_magnetization_mub_per_cell=7.5 pbc="T T T"
Tl 4.883 2.819 1.993
Gd 0.000 0.000 0.000
Ag 2.442 1.410 0.997



No. 2
14
Lattice="-3.249 2.301 2.365 -5.566 -1.994 -1.172 -1.138 -8.465 11.208" Properties=species:S:1:pos:R:3 comment="PBE-GGA La3ZnGa3, relaxed" delta_e_f_ev_per_atom=-0.572 rho_g_cm3=6.4 total_magnetization_mub_per_cell=0.0 pbc="T T T"
La -4.018 -4.442 7.870
La -5.934 -3.716 4.531
La -2.713 -1.867 2.624
La -7.240 -6.291 9.777
La -3.874 -7.332 10.880
La -6.078 -0.826 1.521
Zn -3.562 -1.860 5.984
Zn -6.390 -6.298 6.417
Ga -7.414 -4.023 7.331
Ga -2.539 -4.135 5.070
Ga -6.142 -9.325 9.704
Ga -3.810 1.167 2.697
Ga -8.248 -1.597 3.824
Ga -1.704 -6.561 8.577



No. 3
16
Lattice="4.186 0.000 0.000 -2.093 5.241 0.000 0.000 0.000 15.264" Properties=species:S:1:pos:R:3 comment="PBE-GGA Nd3Ni3Ir2, relaxed" delta_e_f_ev_per_atom=-0.436 rho_g_cm3=9.9 total_magnetization_mub_per_cell=0.0 pbc="T T T"
Nd 2.093 3.795 6.283
Nd 0.000 1.446 13.915
Nd 2.093 3.795 1.349
Nd 0.000 1.446 8.981
Nd 2.093 0.718 3.816
Nd 0.000 4.523 11.448
Ni 2.093 0.806 6.802
Ni 0.000 4.435 14.434
Ni 2.093 0.806 0.830
Ni 0.000 4.435 8.462
Ni 0.000 2.948 3.816
Ni 2.093 2.293 11.448
Ir 2.093 3.623 13.516
Ir 0.000 1.618 5.884
Ir 2.093 3.623 9.380
Ir 0.000 1.618 1.748



No. 4
12
Lattice="-2.167 -3.203 0.874 3.858 -2.268 1.257 -0.891 2.658 7.530" Properties=species:S:1:pos:R:3 comment="PBE-GGA TaNbNi10, relaxed" delta_e_f_ev_per_atom=-0.047 rho_g_cm3=9.7 total_magnetization_mub_per_cell=0.0 pbc="T T T"
Ta 1.484 0.195 4.393
Nb 0.000 0.000 0.000
Ni -0.298 0.888 2.517
Ni 1.188 1.078 6.896
Ni 1.780 -0.688 1.891
Ni -0.593 1.769 5.013
Ni -1.529 -0.273 4.202
Ni 0.846 -2.735 1.065
Ni -0.340 -1.503 2.643
Ni 1.140 -1.310 7.018
Ni 1.584 -2.633 3.269
Ni -0.783 -0.180 6.392



No. 5
17
Lattice="-5.161 -5.205 -2.155 4.670 -3.053 5.219 -3.580 6.041 3.009" Properties=species:S:1:pos:R:3 comment="PBE-GGA TbGa12Pt4, relaxed" delta_e_f_ev_per_atom=-0.341 rho_g_cm3=8.6 total_magnetization_mub_per_cell=0.0 pbc="T T T"
Tb 0.000 0.000 0.000
Ga -3.455 -4.300 0.559
Ga -0.004 -2.400 2.310
Ga -5.794 -0.708 1.025
Ga -3.915 2.733 2.818
Ga 1.724 -1.509 5.049
Ga -4.067 0.183 3.764
Ga -3.096 -0.966 0.761
Ga -0.975 -1.251 5.313
Ga -0.155 -4.950 3.256
Ga -3.119 -3.377 3.100
Ga -0.952 1.160 2.974
Ga -0.615 2.083 5.515
Pt 2.335 -1.527 2.610
Pt -2.580 -2.603 -1.078
Pt -2.035 -1.108 3.037
Pt -1.790 3.021 1.505



No. 6
80
Lattice="-3.401 11.996 16.488 -1.272 -19.871 5.556 18.855 3.850 -7.551" Properties=species:S:1:pos:R:3 comment="PBE-GGA Cs12Sr3Br5, relaxed" formation_energy_uncorrected_kcal_per_mol_atoms=-15.7 rho_g_cm3=2.2 total_magnetization_mub_per_cell=0.0 pbc="T T T"
Sr -0.671 2.027 13.506
Sr -1.574 -3.925 17.650
Sr 9.554 -7.998 5.630
Sr 6.061 1.959 1.985
Sr 1.578 8.975 13.234
Sr 2.643 -6.958 7.768
Sr 11.538 2.934 6.725
Sr 12.603 -13.000 1.259
Sr 8.120 -5.983 12.508
Sr 4.627 3.974 8.862
Sr 15.755 -0.099 -3.157
Sr 14.852 -6.051 0.987
Br 3.811 -4.990 2.257
Br -0.636 -9.935 2.778
Br 0.000 0.000 0.000
Br 0.763 0.012 6.628
Br 7.727 7.923 4.469
Br -2.337 -3.937 11.022
Br 5.691 -11.960 3.396
Br 13.788 9.882 6.453
Br 3.724 -1.978 13.007
Br 12.706 4.902 1.214
Br 1.475 -8.927 13.279
Br 7.091 -2.012 7.246
Br -1.701 5.998 8.244
Br 9.427 1.925 -3.776
Br 10.457 -2.046 1.486
Br 0.393 -13.907 8.039
Br 8.791 -8.010 -0.998
Br 8.490 7.935 11.097
Br 13.418 -4.037 7.865
Br 10.370 0.965 12.236
Cs -2.268 6.250 11.922
Cs 5.915 -4.780 5.040
Cs 1.931 5.208 16.162
Cs 0.013 2.718 8.709
Cs 9.962 -4.105 8.381
Cs -0.706 0.744 18.228
Cs 5.679 -10.622 6.625
Cs 0.516 -16.609 5.826
Cs 9.560 -9.886 10.145
Cs 0.309 -2.652 13.316
Cs 4.062 1.500 13.047
Cs -3.715 -8.128 18.448
Cs 8.408 -10.523 1.732
Cs -0.221 -3.004 8.096
Cs 5.981 -15.442 3.488
Cs 9.663 5.139 2.916
Cs 3.109 -1.812 0.980
Cs -0.751 -7.312 11.121
Cs 1.845 -7.138 16.259
Cs 0.889 -6.577 3.333
Cs 12.623 -11.801 5.891
Cs 5.000 -3.323 10.043
Cs 5.527 -3.439 15.621
Cs 14.067 6.860 8.187
Cs 9.181 -0.702 4.449
Cs 8.654 -0.586 -1.128
Cs 0.114 -10.884 6.306
Cs 12.336 3.114 -1.766
Cs 1.558 7.777 8.602
Cs 13.292 2.553 11.160
Cs 14.932 3.287 3.372
Cs 4.518 -9.163 11.577
Cs 11.072 -2.212 13.513
Cs 8.200 11.417 11.005
Cs 5.773 6.499 12.761
Cs 17.896 4.104 -3.955
Cs 14.402 -1.021 6.397
Cs 4.621 5.862 4.348
Cs 13.872 -1.372 1.177
Cs 10.119 -5.525 1.446
Cs 13.665 12.585 8.667
Cs 8.502 6.597 7.868
Cs 14.168 -6.742 5.783
Cs 14.887 -4.769 -3.735
Cs 4.219 0.081 6.111
Cs 12.250 -9.233 -1.669
Cs 8.266 0.756 9.453
Cs 16.449 -10.274 2.571



No. 7
20
Lattice="4.399 0.000 0.000 0.000 10.331 0.000 0.000 0.000 10.331" Properties=species:S:1:pos:R:3 comment="PBE-GGA Li2Dy2YIn5, relaxed" delta_e_f_ev_per_atom=-0.382 rho_g_cm3=7.1 total_magnetization_mub_per_cell=0.0 pbc="T T T"
Li 0.000 1.236 6.402
Li 0.000 9.095 3.930
Li 0.000 6.402 9.095
Li 0.000 3.930 1.236
Dy 0.000 6.969 1.804
Dy 0.000 3.362 8.528
Dy 0.000 1.804 3.362
Dy 0.000 8.528 6.969
Y 0.000 0.000 0.000
Y 0.000 5.166 5.166
In 2.199 2.192 0.771
In 2.199 8.139 9.561
In 2.199 0.771 8.139
In 2.199 7.358 4.395
In 2.199 9.561 2.192
In 2.199 2.974 5.936
In 2.199 5.936 7.358
In 2.199 4.395 2.974
In 2.199 5.166 0.000
In 2.199 0.000 5.166



No. 8
18
Lattice="-7.011 1.208 -5.047 5.481 -6.582 -1.652 -3.288 -3.664 3.690" Properties=species:S:1:pos:R:3 comment="PBE-GGA Sr4Rh5, relaxed" delta_e_f_ev_per_atom=0.238 rho_g_cm3=7.1 total_magnetization_mub_per_cell=2.7 pbc="T T T"
Sr 0.000 0.000 0.000
Sr -1.644 -1.832 1.845
Sr 1.230 -3.380 0.304
Sr -1.780 -4.278 -3.268
Sr -3.447 -0.464 -0.967
Sr 0.963 -6.866 1.734
Sr -3.039 -4.760 0.260
Sr -6.852 -1.992 -0.389
Rh 2.956 -5.453 -0.216
Rh -1.298 -2.586 -1.159
Rh -5.655 -0.083 -2.556
Rh -0.763 -4.793 2.254
Rh -3.521 -6.452 -1.849
Rh -4.645 -2.373 1.200
Rh -2.847 -1.388 -3.915
Rh -0.327 -5.817 -0.938
Rh 1.317 -3.985 -2.784
Rh -4.491 -3.220 -2.070



No. 9
5
Lattice="5.348 0.000 0.000 0.000 5.348 0.000 0.000 0.000 5.705" Properties=species:S:1:pos:R:3 comment="PBE-GGA CaScSeBr2, relaxed" polymorph_energy_ev_per_atom=0.464 formation_energy_uncorrected_kcal_per_mol_atoms=-19.4 rho_g_cm3=3.3 total_magnetization_mub_per_cell=1.0 pbc="T T T"
Sc 2.674 2.674 2.852
Ca 0.000 0.000 0.000
Se 0.000 0.000 2.852
Br 0.000 2.674 0.000
Br 2.674 0.000 0.000



No. 10
18
Lattice="5.580 0.000 0.000 -2.790 4.833 0.000 0.000 0.000 9.826" Properties=species:S:1:pos:R:3 comment="PBE-GGA CaPuHfO6, relaxed" formation_energy_uncorrected_kcal_per_mol_atoms=-68.5 rho_g_cm3=7.0 total_magnetization_mub_per_cell=4.0 pbc="T T T"
Ca 0.000 0.000 0.000
Ca 0.000 0.000 4.913
Pu 2.790 1.611 2.457
Pu 0.000 3.222 7.370
Hf 0.000 3.222 2.457
Hf 2.790 1.611 7.370
O 1.791 3.078 1.380
O 4.561 1.743 1.380
O -0.771 4.821 6.293
O -1.771 3.090 8.447
O 1.020 1.743 3.534
O 3.789 3.078 3.534
O 0.771 4.821 8.447
O 3.561 0.012 3.534
O -0.999 1.754 6.293
O 2.019 0.012 1.380
O 1.771 3.090 6.293
O 0.999 1.754 8.447



No. 11
10
Lattice="4.242 0.000 -0.001 0.000 5.714 0.344 0.001 0.440 7.622" Properties=species:S:1:pos:R:3 comment="PBE-GGA InAsPd3, relaxed" polymorph_energy_ev_per_atom=0.009 delta_e_f_ev_per_atom=-0.382 rho_g_cm3=9.2 total_magnetization_mub_per_cell=0.0 pbc="T T T"
In 0.537 4.208 7.073
In 0.537 1.536 4.360
As 2.657 5.095 3.263
As 2.657 1.542 0.738
Pd 2.657 4.681 0.847
Pd 0.537 4.296 4.284
Pd 2.657 2.624 2.981
Pd 2.658 2.854 5.921
Pd 0.537 1.265 7.204
Pd 2.658 5.752 5.717



No. 12
4
Lattice="3.312 0.000 0.000 0.000 3.312 0.000 0.000 0.000 6.339" Properties=species:S:1:pos:R:3 comment="PBE-GGA LiTlMo2, relaxed" polymorph_energy_ev_per_atom=0.000 delta_e_f_ev_per_atom=0.284 rho_g_cm3=9.6 total_magnetization_mub_per_cell=0.0 pbc="T T T"
Li 1.656 1.656 4.784
Mo 0.000 0.000 0.136
Mo 1.656 1.656 1.266
Tl 0.000 0.000 3.323



No. 13
11
Lattice="-5.641 1.609 -0.398 0.715 -4.053 -6.165 -0.178 -4.138 6.147" Properties=species:S:1:pos:R:3 comment="PBE-GGA Tm8NiRh2, relaxed" polymorph_energy_ev_per_atom=0.056 delta_e_f_ev_per_atom=-0.370 rho_g_cm3=9.6 total_magnetization_mub_per_cell=0.0 pbc="T T T"
Tm -3.054 -0.812 -1.838
Tm -3.287 -0.834 1.366
Tm -0.756 -2.662 -0.073
Tm -5.565 -2.528 3.185
Tm -5.044 -2.478 -3.989
Tm -4.187 -3.980 -0.331
Tm -1.575 -5.899 -1.765
Tm -1.807 -5.921 1.438
Ni -0.408 -7.918 -0.084
Rh -2.295 -3.355 -2.505
Rh -2.629 -3.386 2.101



No. 14
5
Lattice="-3.270 -1.495 1.476 2.057 -1.725 2.811 -0.426 3.146 2.242" Properties=species:S:1:pos:R:3 comment="PBE-GGA ZnPdO3, relaxed" formation_energy_uncorrected_kcal_per_mol_atoms=0.9 rho_g_cm3=6.2 total_magnetization_mub_per_cell=0.0 pbc="T T T"
Zn -0.820 -0.037 3.265
O 1.028 -0.863 1.405
O -0.213 1.573 1.121
O -1.635 -0.747 0.738
Pd 0.000 0.000 0.000



No. 15
10
Lattice="4.148 0.000 0.000 0.000 4.148 0.000 0.000 0.000 10.085" Properties=species:S:1:pos:R:3 comment="PBE-GGA Pu2Si4IrPt3, relaxed" formation_energy_uncorrected_kcal_per_mol_atoms=-20.5 rho_g_cm3=13.2 total_magnetization_mub_per_cell=10.7 pbc="T T T"
Pu 2.074 0.000 2.474
Pu 0.000 2.074 7.611
Si 2.074 2.074 0.000
Si 0.000 0.000 0.000
Si 2.074 0.000 6.402
Si 0.000 2.074 3.683
Ir 2.074 2.074 5.042
Pt 0.000 0.000 5.042
Pt 2.074 0.000 8.818
Pt 0.000 2.074 1.267



No. 16
3
Lattice="-6.318 0.808 -1.390 -5.437 -0.664 3.535 6.039 2.430 -0.356" Properties=species:S:1:pos:R:3 comment="PBE-GGA CdInCl, relaxed" polymorph_energy_ev_per_atom=0.011 formation_energy_uncorrected_kcal_per_mol_atoms=-8.2 rho_g_cm3=5.4 total_magnetization_mub_per_cell=0.0 pbc="T T T"
Cl -3.924 0.048 0.716
Cd -11.686 0.143 2.133
In -7.900 0.097 1.442



No. 17
18
Lattice="5.694 0.000 0.000 -2.847 10.738 0.000 0.000 0.000 9.744" Properties=species:S:1:pos:R:3 comment="PBE-GGA Sm2DyHo5Th, relaxed" delta_e_f_ev_per_atom=0.164 rho_g_cm3=8.5 total_magnetization_mub_per_cell=0.0 pbc="T T T"
Sm 2.847 8.278 8.059
Sm 0.000 2.804 6.924
Sm 0.000 2.461 3.187
Sm 2.847 7.934 2.052
Dy 2.847 6.629 5.038
Dy 0.000 4.110 0.166
Ho 0.000 8.525 0.400
Ho 2.847 4.935 8.067
Ho 0.000 10.095 7.228
Ho 0.000 6.565 6.990
Ho 2.847 10.425 5.034
Ho 2.847 2.213 5.272
Ho 0.000 5.804 3.195
Ho 2.847 0.643 2.356
Ho 2.847 4.173 2.117
Ho 0.000 0.314 0.162
Th 2.847 2.046 9.011
Th 0.000 8.692 4.139



No. 18
16
Lattice="-2.289 4.398 0.496 -7.086 -3.626 -0.544 -0.191 -1.531 12.681" Properties=species:S:1:pos:R:3 comment="PBE-GGA La5Tl2Ni, relaxed" polymorph_energy_ev_per_atom=0.000 delta_e_f_ev_per_atom=-0.307 rho_g_cm3=7.6 total_magnetization_mub_per_cell=0.0 pbc="T T T"
La -0.095 -0.765 6.340
La -3.543 -1.813 -0.272
La -6.240 -3.480 2.066
La -1.037 -1.676 10.070
La -4.562 -3.338 8.543
La -2.715 -1.819 3.594
La -6.028 -0.911 5.286
La -3.538 0.152 7.347
La -7.148 -2.201 11.548
La -2.418 1.442 1.085
Tl -5.360 -0.194 2.014
Tl -4.206 -0.565 10.619
Tl -7.717 -2.117 8.181
Tl -1.849 1.358 4.452
Ni -3.639 -2.578 6.068
Ni 0.000 0.000 0.000